# LaScN2, optimized geometry, DFT PBE
# * N(E_F): 0.000 states/eV per cell
# * E_form (uncorrected): -1424 meV/atom
# * volume: 268 Å³ per cell
data_LaScN2
_space_group_name_H-M_alt 'I -4 2 d'
_space_group_IT_number 122
_space_group_name_Hall 'I -4 2bw'
_cell_length_a 5.809
_cell_length_b 5.809
_cell_length_c 7.937
_cell_angle_alpha 90.00
_cell_angle_beta 90.00
_cell_angle_gamma 90.00
loop_
_atom_site_label
_atom_site_type_symbol
_atom_site_fract_x
_atom_site_fract_y
_atom_site_fract_z
La1 La 0.000 0.000 0.000
Sc1 Sc 0.000 0.000 0.500
N1 N 0.207 0.250 0.625